A relaxed V2O5 crystal, computed with GGA+U.

```
data_V2O5
_symmetry_space_group_name_H-M 'C 1 2/m 1'
_symmetry_Int_Tables_number 12
_symmetry_space_group_name_Hall '-C 2y'
_cell_length_a 11.525
_cell_length_b 3.626
_cell_length_c 4.661
_cell_angle_alpha 90.00
_cell_angle_beta 90.71
_cell_angle_gamma 90.00
loop_
_atom_site_label
_atom_site_fract_x
_atom_site_fract_y
_atom_site_fract_z
V1 0.149 0.000 0.389
O1 0.000 0.000 0.500
O2 0.144 0.000 0.044
O3 0.182 0.500 0.493
```

## Properties
The calculation puts the density of states at the Fermi level at 0.00 states/eV/cell. The calculation puts the total energy at -52.07 eV/f.u.